(1)
The following is a GGA-PBE calculation of TlAsRhAuCl after structural relaxation, from Alexandria.

Computed properties:
The formation energy without anion corrections comes out at -269.2 meV/atom.

CIF file:
```
data_TlAsRhAuCl
_cell_length_a 3.806
_cell_length_b 3.831
_cell_length_c 9.049
_cell_angle_alpha 89.41
_cell_angle_beta 89.83
_cell_angle_gamma 60.30
_symmetry_space_group_name_H-M 'P 1'
_symmetry_Int_Tables_number 1
loop_
_symmetry_equiv_pos_as_xyz
'x,y,z'
loop_
_atom_site_label
_atom_site_fract_x
_atom_site_fract_y
_atom_site_fract_z
_atom_site_occupancy
Tl1 0.000 0.000 0.000 1
As1 0.330 0.334 0.274 1
Rh1 0.663 0.667 0.373 1
Au1 0.996 0.001 0.552 1
Cl1 0.329 0.343 0.753 1
```

---

(2)
The following is a GGA-PBE calculation of TlAsRhAuCl after structural relaxation, from Alexandria.

Computed properties:
The formation energy without anion corrections comes out at -213.8 meV/atom.

CIF file:
```
data_TlAsRhAuCl
_cell_length_a 3.371
_cell_length_b 4.589
_cell_length_c 7.973
_cell_angle_alpha 90.00
_cell_angle_beta 101.32
_cell_angle_gamma 90.00
_symmetry_space_group_name_H-M 'P 1 m 1'
_symmetry_Int_Tables_number 6
loop_
_symmetry_equiv_pos_as_xyz
'x,y,z'
'x,-y,z'
loop_
_atom_site_label
_atom_site_fract_x
_atom_site_fract_y
_atom_site_fract_z
_atom_site_occupancy
Tl1 0.000 0.000 0.000 1
As1 0.813 0.500 0.672 1
Rh1 0.214 0.500 0.459 1
Au1 0.739 0.000 0.511 1
Cl1 0.587 0.500 0.182 1
```

---

Question: Look up the formation energy without anion corrections of the first one.
Answer: -269.2 meV/atom